This record from Alexandria describes an optimized crystal structure of Th4IrSe5. The functional is PBE.

The density of states at the Fermi level comes out at 7.5 states/eV per cell. Its total magnetic moment is 0.000 μB per atom. Its energy relative to the elements, uncorrected is -1.51 eV/atom. The value obtained for the density is 8094 kg/m³. For the total energy, the calculation gives -7.108 eV/atom.

The structure belongs to space group C2/m (No. 12); the cell edges are 18.824, 4.174 and 8.258 Å and the angles 90.00°, 106.64° and 90.00°. Symmetry generates all atoms from Th at (0.001, 0.000, 0.269), Th at (0.172, 0.500, 0.625), Ir at (0.000, 0.500, 0.500), Se at (0.000, 0.500, 0.000), Se at (0.165, 0.000, 0.859) and Se at (0.168, 0.000, 0.364).